No. 1
The following is a DFT calculation (PBE) of a relaxed Ac6SbRu2I3 crystal.

CIF file:
```
data_Ac6SbRu2I3
_chemical_formula_sum 'Ac12 Sb2 Ru4 I6'
_cell_length_a 7.8732
_cell_length_b 13.6173
_cell_length_c 8.9236
_cell_angle_alpha 90.00
_cell_angle_beta 107.19
_cell_angle_gamma 90.00
_symmetry_space_group_name_H-M 'C 1 2/m 1'
_symmetry_Int_Tables_number 12
_symmetry_space_group_name_Hall '-C 2y'
loop_
_atom_site_label
_atom_site_fract_x
_atom_site_fract_y
_atom_site_fract_z
_atom_site_occupancy
Ac1 0.1964 0.0000 0.1903 1
Ac2 0.2471 0.3161 0.1914 1
Sb1 0.0000 0.5000 0.0000 1
Ru1 0.0000 0.1672 0.0000 1
I1 0.0000 0.0000 0.5000 1
I2 0.0000 0.3397 0.5000 1
```

Output
- Calculated density: 7.51 Mg/m³
- Energy relative to the elements, uncorrected: -0.8429 eV/atom
- Raw total energy: -5.174 eV/atom


No. 2
The following is a DFT calculation (PBE) of a relaxed Ac8SiRu3I4 crystal.

CIF file:
```
data_Ac8SiRu3I4
_chemical_formula_sum 'Ac24 Si3 Ru9 I12'
_cell_length_a 8.8817
_cell_length_b 8.8817
_cell_length_c 25.5923
_cell_angle_alpha 90.00
_cell_angle_beta 90.00
_cell_angle_gamma 120.00
_symmetry_space_group_name_H-M 'R -3 m'
_symmetry_Int_Tables_number 166
_symmetry_space_group_name_Hall '-R 3 2"'
loop_
_atom_site_label
_atom_site_fract_x
_atom_site_fract_y
_atom_site_fract_z
_atom_site_occupancy
Ac1 0.0000 0.0000 0.2315 1
Ac2 0.0154 0.5077 0.7729 1
Si1 0.0000 0.0000 0.5000 1
Ru1 0.0000 0.5000 0.5000 1
I1 0.0000 0.0000 0.0000 1
I2 0.0000 0.5000 0.0000 1
```

Output
- Calculated density: 7.56 Mg/m³
- Energy relative to the elements, uncorrected: -0.7511 eV/atom
- Raw total energy: -5.271 eV/atom


No. 3
The following is a DFT calculation (PBE) of a relaxed Ac4SiRuI2 crystal.

CIF file:
```
data_Ac4SiRuI2
_chemical_formula_sum 'Ac4 Si1 Ru1 I2'
_cell_length_a 7.9421
_cell_length_b 4.4258
_cell_length_c 8.7903
_cell_angle_alpha 90.00
_cell_angle_beta 106.06
_cell_angle_gamma 90.00
_symmetry_space_group_name_H-M 'P 1 2/m 1'
_symmetry_Int_Tables_number 10
_symmetry_space_group_name_Hall '-P 2y'
loop_
_atom_site_label
_atom_site_fract_x
_atom_site_fract_y
_atom_site_fract_z
_atom_site_occupancy
Ac1 0.2187 0.0000 0.1884 1
Ac2 0.2477 0.5000 0.8142 1
Si1 0.5000 0.0000 0.0000 1
Ru1 0.0000 0.5000 0.0000 1
I1 0.0000 0.0000 0.5000 1
I2 0.5000 0.5000 0.5000 1
```

Output
- Calculated density: 7.22 Mg/m³
- Energy relative to the elements, uncorrected: -0.8057 eV/atom
- Raw total energy: -5.085 eV/atom


No. 4
The following is a DFT calculation (PBE) of a relaxed Ac6SiRu2I3 crystal.

CIF file:
```
data_Ac6SiRu2I3
_chemical_formula_sum 'Ac12 Si2 Ru4 I6'
_cell_length_a 7.7255
_cell_length_b 13.3731
_cell_length_c 8.9128
_cell_angle_alpha 90.00
_cell_angle_beta 106.88
_cell_angle_gamma 90.00
_symmetry_space_group_name_H-M 'C 1 2/m 1'
_symmetry_Int_Tables_number 12
_symmetry_space_group_name_Hall '-C 2y'
loop_
_atom_site_label
_atom_site_fract_x
_atom_site_fract_y
_atom_site_fract_z
_atom_site_occupancy
Ac1 0.2108 0.0000 0.1860 1
Ac2 0.2374 0.3241 0.1871 1
Si1 0.0000 0.5000 0.0000 1
Ru1 0.0000 0.1671 0.0000 1
I1 0.0000 0.0000 0.5000 1
I2 0.0000 0.3369 0.5000 1
```

Output
- Calculated density: 7.44 Mg/m³
- Energy relative to the elements, uncorrected: -0.7687 eV/atom
- Raw total energy: -5.208 eV/atom


No. 5
The following is a DFT calculation (PBE) of a relaxed AcSmRuI crystal.

CIF file:
```
data_AcSmRuI
_chemical_formula_sum 'Ac2 Sm2 Ru2 I2'
_cell_length_a 7.3023
_cell_length_b 4.2080
_cell_length_c 8.7597
_cell_angle_alpha 90.00
_cell_angle_beta 106.20
_cell_angle_gamma 90.00
_symmetry_space_group_name_H-M 'C 1 m 1'
_symmetry_Int_Tables_number 8
_symmetry_space_group_name_Hall 'C -2y'
loop_
_atom_site_label
_atom_site_fract_x
_atom_site_fract_y
_atom_site_fract_z
_atom_site_occupancy
Ac1 0.0000 0.0000 0.0000 1
Sm1 0.2113 0.0000 0.6321 1
Ru1 0.1028 0.5000 0.8072 1
I1 0.2797 0.5000 0.3370 1
```

Output
- Calculated density: 7.78 Mg/m³
- Energy relative to the elements, uncorrected: -0.6298 eV/atom
- Raw total energy: -5.543 eV/atom


No. 6
The following is a DFT calculation (PBE) of a relaxed Ac6SnRu2I3 crystal.

CIF file:
```
data_Ac6SnRu2I3
_chemical_formula_sum 'Ac12 Sn2 Ru4 I6'
_cell_length_a 7.8430
_cell_length_b 13.5746
_cell_length_c 8.9701
_cell_angle_alpha 90.00
_cell_angle_beta 107.10
_cell_angle_gamma 90.00
_symmetry_space_group_name_H-M 'C 1 2/m 1'
_symmetry_Int_Tables_number 12
_symmetry_space_group_name_Hall '-C 2y'
loop_
_atom_site_label
_atom_site_fract_x
_atom_site_fract_y
_atom_site_fract_z
_atom_site_occupancy
Ac1 0.1959 0.0000 0.1901 1
Ac2 0.2480 0.3158 0.1913 1
Sn1 0.0000 0.5000 0.0000 1
Ru1 0.0000 0.1671 0.0000 1
I1 0.0000 0.0000 0.5000 1
I2 0.0000 0.3397 0.5000 1
```

Output
- Calculated density: 7.51 Mg/m³
- Energy relative to the elements, uncorrected: -0.7769 eV/atom
- Raw total energy: -5.098 eV/atom


No. 7
The following is a DFT calculation (PBE) of a relaxed Ac4SnRuI2 crystal.

CIF file:
```
data_Ac4SnRuI2
_chemical_formula_sum 'Ac4 Sn1 Ru1 I2'
_cell_length_a 8.2314
_cell_length_b 4.5347
_cell_length_c 8.8323
_cell_angle_alpha 90.00
_cell_angle_beta 107.20
_cell_angle_gamma 90.00
_symmetry_space_group_name_H-M 'P 1 2/m 1'
_symmetry_Int_Tables_number 10
_symmetry_space_group_name_Hall '-P 2y'
loop_
_atom_site_label
_atom_site_fract_x
_atom_site_fract_y
_atom_site_fract_z
_atom_site_occupancy
Ac1 0.2107 0.0000 0.1913 1
Ac2 0.2274 0.5000 0.8086 1
Sn1 0.5000 0.0000 0.0000 1
Ru1 0.0000 0.5000 0.0000 1
I1 0.0000 0.0000 0.5000 1
I2 0.5000 0.5000 0.5000 1
```

Output
- Calculated density: 7.28 Mg/m³
- Energy relative to the elements, uncorrected: -0.8022 eV/atom
- Raw total energy: -4.904 eV/atom


No. 8
The following is a DFT calculation (PBE) of a relaxed Ac4Te2RuI crystal.

CIF file:
```
data_Ac4Te2RuI
_chemical_formula_sum 'Ac4 Te2 Ru1 I1'
_cell_length_a 8.2379
_cell_length_b 4.4756
_cell_length_c 8.3809
_cell_angle_alpha 90.00
_cell_angle_beta 106.37
_cell_angle_gamma 90.00
_symmetry_space_group_name_H-M 'P 1 2/m 1'
_symmetry_Int_Tables_number 10
_symmetry_space_group_name_Hall '-P 2y'
loop_
_atom_site_label
_atom_site_fract_x
_atom_site_fract_y
_atom_site_fract_z
_atom_site_occupancy
Ac1 0.2117 0.0000 0.2054 1
Ac2 0.2323 0.5000 0.7856 1
Te1 0.5000 0.0000 0.0000 1
Te2 0.5000 0.5000 0.5000 1
Ru1 0.0000 0.5000 0.0000 1
I1 0.0000 0.0000 0.5000 1
```

Output
- Calculated density: 7.79 Mg/m³
- Energy relative to the elements, uncorrected: -0.9922 eV/atom
- Raw total energy: -5.185 eV/atom


No. 9
The following is a DFT calculation (PBE) of a relaxed Ac8TeRu3I4 crystal.

CIF file:
```
data_Ac8TeRu3I4
_chemical_formula_sum 'Ac24 Te3 Ru9 I12'
_cell_length_a 9.0710
_cell_length_b 9.0710
_cell_length_c 25.4974
_cell_angle_alpha 90.00
_cell_angle_beta 90.00
_cell_angle_gamma 120.00
_symmetry_space_group_name_H-M 'R -3 m'
_symmetry_Int_Tables_number 166
_symmetry_space_group_name_Hall '-R 3 2"'
loop_
_atom_site_label
_atom_site_fract_x
_atom_site_fract_y
_atom_site_fract_z
_atom_site_occupancy
Ac1 0.0000 0.0000 0.2308 1
Ac2 0.0324 0.5162 0.7715 1
Te1 0.0000 0.0000 0.5000 1
Ru1 0.0000 0.5000 0.5000 1
I1 0.0000 0.0000 0.0000 1
I2 0.0000 0.5000 0.0000 1
```

Output
- Calculated density: 7.55 Mg/m³
- Energy relative to the elements, uncorrected: -0.8170 eV/atom
- Raw total energy: -5.194 eV/atom


No. 10
The following is a DFT calculation (PBE) of a relaxed Ac4TeRuI2 crystal.

CIF file:
```
data_Ac4TeRuI2
_chemical_formula_sum 'Ac4 Te1 Ru1 I2'
_cell_length_a 8.5247
_cell_length_b 4.4054
_cell_length_c 8.7691
_cell_angle_alpha 90.00
_cell_angle_beta 105.45
_cell_angle_gamma 90.00
_symmetry_space_group_name_H-M 'P 1 2/m 1'
_symmetry_Int_Tables_number 10
_symmetry_space_group_name_Hall '-P 2y'
loop_
_atom_site_label
_atom_site_fract_x
_atom_site_fract_y
_atom_site_fract_z
_atom_site_occupancy
Ac1 0.1944 0.0000 0.1863 1
Ac2 0.2237 0.5000 0.8004 1
Te1 0.5000 0.0000 0.0000 1
Ru1 0.0000 0.5000 0.0000 1
I1 0.0000 0.0000 0.5000 1
I2 0.5000 0.5000 0.5000 1
```

Output
- Calculated density: 7.27 Mg/m³
- Energy relative to the elements, uncorrected: -0.9641 eV/atom
- Raw total energy: -4.958 eV/atom


No. 11
The following is a DFT calculation (PBE) of a relaxed Ac6Tl2RuI3 crystal.

CIF file:
```
data_Ac6Tl2RuI3
_chemical_formula_sum 'Ac12 Tl4 Ru2 I6'
_cell_length_a 8.2552
_cell_length_b 14.0584
_cell_length_c 8.7495
_cell_angle_alpha 90.00
_cell_angle_beta 108.17
_cell_angle_gamma 90.00
_symmetry_space_group_name_H-M 'C 1 2/m 1'
_symmetry_Int_Tables_number 12
_symmetry_space_group_name_Hall '-C 2y'
loop_
_atom_site_label
_atom_site_fract_x
_atom_site_fract_y
_atom_site_fract_z
_atom_site_occupancy
Ac1 0.2165 0.1501 0.1981 1
Ac2 0.2271 0.0000 0.7949 1
Tl1 0.0000 0.3363 0.0000 1
Ru1 0.0000 0.0000 0.0000 1
I1 0.0000 0.1761 0.5000 1
I2 0.0000 0.5000 0.5000 1
```

Output
- Calculated density: 7.75 Mg/m³
- Energy relative to the elements, uncorrected: -0.6819 eV/atom
- Raw total energy: -4.291 eV/atom


No. 12
The following is a DFT calculation (PBE) of a relaxed AcSI crystal.

CIF file:
```
data_AcSI
_chemical_formula_sum 'Ac8 S8 I8'
_cell_length_a 7.2782
_cell_length_b 15.4733
_cell_length_c 7.5442
_cell_angle_alpha 90.00
_cell_angle_beta 90.00
_cell_angle_gamma 90.00
_symmetry_space_group_name_H-M 'P b c a'
_symmetry_Int_Tables_number 61
_symmetry_space_group_name_Hall '-P 2ac 2ab'
loop_
_atom_site_label
_atom_site_fract_x
_atom_site_fract_y
_atom_site_fract_z
_atom_site_occupancy
Ac1 0.2447 0.0877 0.0238 1
S1 0.0002 0.0168 0.7448 1
I1 0.1887 0.6977 0.4160 1
```

Output
- Calculated density: 6.03 Mg/m³
- Energy relative to the elements, uncorrected: -1.9435 eV/atom
- Raw total energy: -5.206 eV/atom


Which formula does entry 9 have?
Ac8TeRu3I4